1.
This record from the Alexandria database describes H2IrRuF after structural relaxation. The functional is PBE-GGA.

## Properties
symmetry = P4/mmm (123)
electronic total energy = -24.09 eV per cell
Fermi-level density of states = 3.4 states/eV/cell

a = 3.391 Å, b = 3.391 Å, c = 4.833 Å
α = 90.00°, β = 90.00°, γ = 90.00°
Fractional positions:
H 0.000 0.500 0.000
H 0.500 0.000 0.000
Ir 0.000 0.000 0.500
Ru 0.000 0.000 0.000
F 0.500 0.500 0.500

=====

2.
This record from the Alexandria database describes CaPrEuEr after structural relaxation. The functional is PBE-GGA.

## Properties
symmetry = F-43m (216)
ΔE_f = 2.9 kcal/mol of atoms
electronic total energy = -21.11 eV per cell
Fermi-level density of states = 5.5 states/eV/cell

a = 5.922 Å, b = 5.922 Å, c = 5.922 Å
α = 60.00°, β = 60.00°, γ = 60.00°
Fractional positions:
Ca 0.000 0.000 0.000
Pr 0.250 0.250 0.250
Eu 0.750 0.750 0.750
Er 0.500 0.500 0.500

=====

3.
This record from the Alexandria database describes LaReRu2 after structural relaxation. The functional is PBE-GGA.

## Properties
energy above the most stable polymorph in this dataset = 0.223 eV per atom
symmetry = Cm (8)
ΔE_f = 8.3 kcal/mol of atoms
electronic total energy = -34.49 eV per cell
Fermi-level density of states = 4.2 states/eV/cell

a = 5.104 Å, b = 5.104 Å, c = 5.072 Å
α = 99.34°, β = 99.34°, γ = 33.85°
Fractional positions:
La 0.000 0.000 0.000
Re 0.221 0.221 0.650
Ru 0.498 0.498 0.506
Ru 0.772 0.772 0.261

=====

4.
This record from the Alexandria database describes Ce2Ge3PtRh4 after structural relaxation. The functional is PBE-GGA.

## Properties
symmetry = P-4m2 (115)
ΔE_f = -18.6 kcal/mol of atoms
electronic total energy = -69.22 eV per cell
Fermi-level density of states = 8.7 states/eV/cell

a = 4.015 Å, b = 4.015 Å, c = 11.411 Å
α = 90.00°, β = 90.00°, γ = 90.00°
Fractional positions:
Ce 0.000 0.500 0.231
Ce 0.500 0.000 0.769
Ge 0.000 0.000 0.000
Ge 0.000 0.500 0.622
Ge 0.500 0.000 0.378
Pt 0.500 0.500 0.000
Rh 0.000 0.000 0.500
Rh 0.000 0.500 0.833
Rh 0.500 0.000 0.167
Rh 0.500 0.500 0.500

=====

5.
This record from the Alexandria database describes CaTl2TeIr after structural relaxation. The functional is PBE-GGA.

## Properties
symmetry = P4/mmm (123)
raw formation energy = 0.474 eV per atom
electronic total energy = -16.37 eV per cell
Fermi-level density of states = 3.3 states/eV/cell

a = 6.042 Å, b = 6.042 Å, c = 4.853 Å
α = 90.00°, β = 90.00°, γ = 90.00°
Fractional positions:
Ca 0.000 0.000 0.000
Tl 0.000 0.500 0.500
Tl 0.500 0.000 0.500
Te 0.500 0.500 0.500
Ir 0.500 0.500 0.000

=====

6.
This record from the Alexandria database describes BaCa4Rh after structural relaxation. The functional is PBE-GGA.

## Properties
energy above the most stable polymorph in this dataset = 0.692 eV per atom
symmetry = F-43m (216)
ΔE_f = 11.8 kcal/mol of atoms
electronic total energy = -14.20 eV per cell
Fermi-level density of states = 7.5 states/eV/cell

a = 6.836 Å, b = 6.836 Å, c = 6.836 Å
α = 60.00°, β = 60.00°, γ = 60.00°
Fractional positions:
Ba 0.000 0.000 0.000
Ca 0.129 0.624 0.624
Ca 0.624 0.129 0.624
Ca 0.624 0.624 0.129
Ca 0.624 0.624 0.624
Rh 0.250 0.250 0.250